[1]
Density functional theory data (GGA-PBE) for crystalline CsCuSi2 at its relaxed geometry.

Values from the calculation:
- Spin magnetization: 0.00 μB per formula unit
- Offset from the most stable computed form: 68 meV/atom

abc: 7.506 7.506 7.028
angles: 98.39 98.39 30.95
Fractional coordinates of all 8 atoms:
1 Cs 0.000 0.000 0.000
2 Cs 0.509 0.509 0.508
3 Cu 0.252 0.252 0.746
4 Cu 0.258 0.258 0.102
5 Si 0.210 0.210 0.408
6 Si 0.707 0.707 0.911
7 Si 0.809 0.809 0.616
8 Si 0.811 0.811 0.269

---

[2]
Density functional theory data (GGA-PBE) for crystalline Si2SnAu2 at its relaxed geometry.

Values from the calculation:
- Spin magnetization: 0.00 μB per formula unit
- Offset from the most stable computed form: 108 meV/atom

abc: 8.071 8.071 2.948
angles: 90.00 90.00 90.00
Fractional coordinates of all 10 atoms:
1 Si 0.134 0.366 0.000
2 Si 0.366 0.866 0.000
3 Si 0.634 0.134 0.000
4 Si 0.866 0.634 0.000
5 Sn 0.000 0.000 0.500
6 Sn 0.500 0.500 0.500
7 Au 0.161 0.661 0.500
8 Au 0.339 0.161 0.500
9 Au 0.661 0.839 0.500
10 Au 0.839 0.339 0.500

---

| no. | calculated total energy (eV per atom) |
| --- | --- |
| 1 | -3.87 |
| 2 | -4.05 |